A plane-wave DFT calculation with PBE-GGA was carried out for crystalline Mg2Ag4Cl9 at its relaxed geometry.

Values from the calculation:
Theoretical density (g cm⁻³): 3.53
Formation energy without anion corrections (eV/atom): -0.965

Unit cell a=6.7245 b=6.8434 c=19.7810 alpha=105.84 beta=90.03 gamma=60.54
With the nearest neighbours (Å) after each atom.
Fractional positions:
1 Cl 0.7570 0.1899 0.5923  1 Mg 2.42, 2 Ag 2.54-2.65
2 Cl 0.0454 0.3225 0.7486  1 Mg 2.60, 2 Ag 2.60-2.62
3 Cl 0.3936 0.9206 0.5971  1 Mg 2.44, 2 Ag 2.56-2.58
4 Cl 0.6064 0.0794 0.4029  1 Mg 2.44, 2 Ag 2.56-2.58
5 Cl 0.7829 0.9998 0.7500  2 Mg 2.45
6 Cl 0.3684 0.6762 0.7510  1 Mg 2.60, 2 Ag 2.60-2.62
7 Cl 0.1290 0.5743 0.5823  1 Mg 2.47, 2 Ag 2.64-2.71
8 Cl 0.9546 0.6775 0.2514  1 Mg 2.60, 2 Ag 2.60-2.62
9 Cl 0.6316 0.3238 0.2490  1 Mg 2.60, 2 Ag 2.60-2.62
10 Cl 0.2957 0.5758 0.0823  1 Mg 2.47, 2 Ag 2.64-2.71
11 Cl 0.6848 0.9231 0.0970  1 Mg 2.44, 2 Ag 2.56-2.58
12 Cl 0.7043 0.4242 0.9177  1 Mg 2.47, 2 Ag 2.64-2.71
13 Cl 0.2171 0.0002 0.2500  2 Mg 2.45
14 Cl 0.2430 0.8101 0.4077  1 Mg 2.42, 2 Ag 2.54-2.65
15 Cl 0.9483 0.8074 0.9074  1 Mg 2.42, 2 Ag 2.54-2.65
16 Cl 0.3152 0.0769 0.9030  1 Mg 2.44, 2 Ag 2.56-2.58
17 Cl 0.0517 0.1926 0.0926  1 Mg 2.42, 2 Ag 2.54-2.65
18 Cl 0.8710 0.4257 0.4177  1 Mg 2.47, 2 Ag 2.64-2.71
19 Ag 0.2903 0.4806 0.9402  4 Cl 2.54-2.71
20 Ag 0.3219 0.2992 0.1725  4 Cl 2.56-2.65
21 Ag 0.6781 0.7008 0.8275  4 Cl 2.56-2.65
22 Ag 0.7724 0.5161 0.5594  4 Cl 2.54-2.71
23 Ag 0.3802 0.2971 0.6722  4 Cl 2.56-2.65
24 Ag 0.6198 0.7029 0.3278  4 Cl 2.56-2.65
25 Ag 0.7097 0.5194 0.0598  4 Cl 2.54-2.71
26 Ag 0.2276 0.4839 0.4406  4 Cl 2.54-2.71
27 Mg 0.0465 0.9691 0.6566  5 Cl 2.42-2.60
28 Mg 0.0161 0.0294 0.8434  5 Cl 2.42-2.60
29 Mg 0.9535 0.0309 0.3434  5 Cl 2.42-2.60
30 Mg 0.9839 0.9706 0.1566  5 Cl 2.42-2.60

---

A plane-wave DFT calculation with PBE-GGA was carried out for crystalline Ta2FePd at its relaxed geometry.

Values from the calculation:
Formation enthalpy at 0 K (eV/atom): 0.325
Theoretical density (g cm⁻³): 13.21

Unit cell a=6.9482 b=6.9482 c=5.6208 alpha=51.82 beta=51.82 gamma=90.00
With the nearest neighbours (Å) after each atom.
Fractional positions:
1 Ta 0.1535 0.6250 0.2500  2 Fe 2.42, 2 Pd 2.69
2 Ta 0.8750 0.8465 0.7500  2 Fe 2.42, 2 Pd 2.69
3 Ta 0.5965 0.1250 0.2500  2 Fe 2.42, 2 Pd 2.69
4 Ta 0.3750 0.4035 0.7500  2 Fe 2.42, 2 Pd 2.69
5 Pd 0.0000 0.0000 0.0000  4 Ta 2.69, 2 Fe 2.73
6 Pd 0.7500 0.2500 0.5000  4 Ta 2.69, 2 Fe 2.73
7 Fe 0.5000 0.5000 0.0000  4 Ta 2.42
8 Fe 0.2500 0.7500 0.5000  4 Ta 2.42

---

A plane-wave DFT calculation with PBE-GGA was carried out for crystalline Ac8Ni3PtBr4 at its relaxed geometry.

Values from the calculation:
Theoretical density (g cm⁻³): 7.67
Formation energy without anion corrections (eV/atom): -0.969

Unit cell a=8.7234 b=9.6454 c=8.7247 alpha=116.87 beta=119.99 gamma=90.00
With the nearest neighbours (Å) after each atom.
Fractional positions:
1 Ni 0.0000 0.5000 0.5000  6 Ac 2.96-2.97
2 Ni 0.5000 0.5000 0.5000  6 Ac 2.96-2.97
3 Ni 0.5000 0.5000 0.0000  6 Ac 2.96-2.97
4 Ac 0.2699 0.3095 0.5398  3 Ni 2.97
5 Ac 0.7301 0.6905 0.4602  3 Ni 2.97
6 Ac 0.7663 0.3064 0.5326  2 Ni 2.96, 1 Pt 3.01
7 Ac 0.7260 0.6936 0.9597  2 Ni 2.96, 1 Pt 3.01
8 Ac 0.2337 0.6936 0.9597  2 Ni 2.96, 1 Pt 3.01
9 Ac 0.2337 0.6936 0.4674  2 Ni 2.96, 1 Pt 3.01
10 Ac 0.2740 0.3064 0.0403  2 Ni 2.96, 1 Pt 3.01
11 Ac 0.7663 0.3064 0.0403  2 Ni 2.96, 1 Pt 3.01
12 Br 0.0000 0.0000 0.0000  6 Ac 3.58
13 Br 0.0000 0.0000 0.5000  6 Ac 3.58
14 Br 0.5000 0.0000 0.0000  6 Ac 3.54
15 Br 0.5000 0.0000 0.5000  6 Ac 3.58
16 Pt 0.0000 0.5000 0.0000  6 Ac 3.01

---

A plane-wave DFT calculation with PBE-GGA was carried out for crystalline La3Sb4Pb at its relaxed geometry.

Values from the calculation:
Theoretical density (g cm⁻³): 6.57
Formation energy without anion corrections (eV/atom): -0.872

Unit cell a=6.5483 b=6.5483 c=6.5483 alpha=90.00 beta=90.00 gamma=90.00
With the nearest neighbours (Å) after each atom.
Fractional positions:
1 La 0.5000 0.0000 0.5000  6 Sb 3.27
2 La 0.0000 0.5000 0.5000  6 Sb 3.27
3 La 0.5000 0.5000 0.0000  6 Sb 3.27
4 Sb 0.0000 0.5000 0.0000  4 La 3.27, 2 Pb 3.27
5 Sb 0.0000 0.0000 0.5000  4 La 3.27, 2 Pb 3.27
6 Sb 0.5000 0.5000 0.5000  6 La 3.27
7 Sb 0.5000 0.0000 0.0000  4 La 3.27, 2 Pb 3.27
8 Pb 0.0000 0.0000 0.0000  6 Sb 3.27

---

A plane-wave DFT calculation with PBE-GGA was carried out for crystalline BeGa2HgI8 at its relaxed geometry.

Values from the calculation:
Theoretical density (g cm⁻³): 3.97
Formation energy without anion corrections (eV/atom): -0.309

Unit cell a=7.7213 b=8.7024 c=10.5052 alpha=68.47 beta=68.44 gamma=63.66
With the nearest neighbours (Å) after each atom.
Fractional positions:
1 I 0.6790 0.9968 0.1944  1 Be 2.57, 1 Ga 2.71
2 I 0.3335 0.4301 0.9029  1 Ga 2.51
3 I 0.8528 0.6541 0.6403  1 Ga 2.54
4 I 0.1298 0.9968 0.1944  1 Be 2.57, 1 Ga 2.71
5 I 0.6665 0.5699 0.0971  1 Ga 2.51
6 I 0.3210 0.0032 0.8056  1 Be 2.57, 1 Ga 2.71
7 I 0.8702 0.0032 0.8056  1 Be 2.57, 1 Ga 2.71
8 I 0.1472 0.3459 0.3597  1 Ga 2.54
9 Be 0.0000 0.0000 0.0000  4 I 2.57
10 Ga 0.6814 0.7803 0.8568  4 I 2.51-2.71
11 Ga 0.3186 0.2197 0.1432  4 I 2.51-2.71
12 Hg 0.5000 0.5000 0.5000  2 I 3.84

---

A plane-wave DFT calculation with PBE-GGA was carried out for crystalline Ho2NpP3Rh12 at its relaxed geometry.

Values from the calculation:
Formation enthalpy at 0 K (eV/atom): -0.326
Theoretical density (g cm⁻³): 9.78

Unit cell a=7.2839 b=7.2839 c=7.2839 alpha=68.39 beta=68.39 gamma=68.39
With the nearest neighbours (Å) after each atom.
Fractional positions:
1 Rh 0.1443 0.6186 0.1443  1 P 2.26
2 Rh 0.6614 0.6614 0.0943  2 P 2.27
3 Rh 0.1443 0.1443 0.6186  1 P 2.26
4 Rh 0.3814 0.8557 0.8557  1 P 2.26
5 Rh 0.3386 0.3386 0.9057  2 P 2.27
6 Rh 0.8557 0.8557 0.3814  1 P 2.26
7 Rh 0.0943 0.6614 0.6614  2 P 2.27
8 Rh 0.8557 0.3814 0.8557  1 P 2.26
9 Rh 0.6614 0.0943 0.6614  2 P 2.27
10 Rh 0.3386 0.9057 0.3386  2 P 2.27
11 Rh 0.9057 0.3386 0.3386  2 P 2.27
12 Rh 0.6186 0.1443 0.1443  1 P 2.26
13 P 0.0000 0.5000 0.0000  6 Rh 2.26-2.27
14 P 0.5000 0.0000 0.0000  6 Rh 2.26-2.27
15 P 0.0000 0.0000 0.5000  6 Rh 2.26-2.27
16 Np 0.0000 0.0000 0.0000  6 Rh 2.54
17 Ho 0.4037 0.4037 0.4037  6 Rh 2.80-2.91
18 Ho 0.5963 0.5963 0.5963  6 Rh 2.80-2.91

---

A plane-wave DFT calculation with PBE-GGA was carried out for crystalline SrIr3N at its relaxed geometry.

Values from the calculation:
Theoretical density (g cm⁻³): 8.24
Formation energy without anion corrections (eV/atom): 3.857

Unit cell a=5.1520 b=5.1520 c=5.1520 alpha=90.00 beta=90.00 gamma=90.00
With the nearest neighbours (Å) after each atom.
Fractional positions:
1 Ir 0.0000 0.0000 0.5000  2 Sr 2.58
2 Ir 0.5000 0.0000 0.0000  2 Sr 2.58
3 Ir 0.0000 0.5000 0.0000  2 Sr 2.58
4 Sr 0.0000 0.0000 0.0000  6 Ir 2.58
5 N 0.5000 0.5000 0.5000  12 Ir 3.64

---

A plane-wave DFT calculation with PBE-GGA was carried out for crystalline TeP at its relaxed geometry.

Values from the calculation:
Theoretical density (g cm⁻³): 4.76
Formation energy without anion corrections (eV/atom): 0.159

Unit cell a=3.2327 b=4.4473 c=8.5032 alpha=93.74 beta=100.67 gamma=111.46
With the nearest neighbours (Å) after each atom.
Fractional positions:
1 Te 0.0752 0.8516 0.8074  1 P 2.52
2 Te 0.9248 0.1484 0.1926  1 P 2.52
3 P 0.7328 0.3973 0.5711  2 P 2.24-2.25
4 P 0.2672 0.6027 0.4289  2 P 2.24-2.25

---

A plane-wave DFT calculation with PBE-GGA was carried out for crystalline TlSiIr2 at its relaxed geometry.

Values from the calculation:
Theoretical density (g cm⁻³): 14.91
Formation energy without anion corrections (eV/atom): -0.035

Unit cell a=7.7717 b=7.7717 c=7.7717 alpha=157.46 beta=157.54 gamma=32.03
With the nearest neighbours (Å) after each atom.
Fractional positions:
1 Ir 0.9718 0.9718 0.0000  4 Si 2.45
2 Ir 0.6722 0.1722 0.5000  2 Si 2.37
3 Si 0.5506 0.5506 0.0000  6 Ir 2.37-2.45
4 Tl 0.3054 0.8054 0.5000  6 Ir 2.91-2.92, 4 Tl 3.03-3.04

---

A plane-wave DFT calculation with PBE-GGA was carried out for crystalline LiLaAg2 at its relaxed geometry.

Values from the calculation:
Formation enthalpy at 0 K (eV/atom): -0.203
Theoretical density (g cm⁻³): 6.88

Unit cell a=3.4457 b=3.4488 c=7.3482 alpha=90.00 beta=90.00 gamma=90.00
With the nearest neighbours (Å) after each atom.
Fractional positions:
1 Ag 0.0000 0.0000 0.9462  4 Li 2.83, 1 Ag 2.88
2 Ag 0.0000 0.0000 0.5538  4 Li 2.83, 1 Ag 2.88
3 La 0.5000 0.5000 0.2500  8 Ag 3.31, 4 La 3.45, 2 Li 3.67
4 Li 0.5000 0.5000 0.7500  8 Ag 2.83

---

A plane-wave DFT calculation with PBE-GGA was carried out for crystalline Pr8In2Cu at its relaxed geometry.

Values from the calculation:
Formation enthalpy at 0 K (eV/atom): -0.184
Theoretical density (g cm⁻³): 6.76

Unit cell a=5.3110 b=6.9849 c=10.0881 alpha=104.48 beta=105.26 gamma=90.00
With the nearest neighbours (Å) after each atom.
Fractional positions:
1 Pr 0.4085 0.5396 0.8171  1 Cu 3.25, 2 In 3.49, 3 Pr 3.50
2 Pr 0.6502 0.9776 0.3004  1 Cu 2.97, 2 In 3.26
3 Pr 0.7909 0.7019 0.5819  3 In 3.28-3.46, 2 Pr 3.47
4 Pr 0.9866 0.2219 0.9732  2 Cu 3.12, 1 Pr 3.27, 1 In 3.35
5 Pr 0.2091 0.2981 0.4181  3 In 3.28-3.46, 2 Pr 3.47
6 Pr 0.0134 0.7781 0.0268  2 Cu 3.12, 1 Pr 3.27, 1 In 3.35
7 Pr 0.5915 0.4604 0.1829  1 Cu 3.25, 2 In 3.49, 3 Pr 3.50
8 Pr 0.3498 0.0224 0.6996  1 Cu 2.97, 2 In 3.26
9 Cu 0.5000 0.0000 0.0000  8 Pr 2.97-3.25
10 In 0.8185 0.2580 0.6370  9 Pr 3.26-3.49
11 In 0.1815 0.7420 0.3630  9 Pr 3.26-3.49

---

A plane-wave DFT calculation with PBE-GGA was carried out for crystalline LaDy2TmP4 at its relaxed geometry.

Values from the calculation:
Formation enthalpy at 0 K (eV/atom): -1.577
Theoretical density (g cm⁻³): 6.62

Unit cell a=4.0643 b=7.0324 c=7.0367 alpha=109.41 beta=90.00 gamma=90.00
With the nearest neighbours (Å) after each atom.
Fractional positions:
1 P 0.0000 0.2394 0.7418  3 Dy 2.82-2.89, 1 Tm 2.86, 2 La 2.93
2 P 0.5000 0.2430 0.2520  3 Dy 2.82-2.89, 2 Tm 2.86, 1 La 2.92
3 P 0.0000 0.7606 0.2582  3 Dy 2.82-2.89, 1 Tm 2.86, 2 La 2.93
4 P 0.5000 0.7570 0.7480  3 Dy 2.82-2.89, 2 Tm 2.86, 1 La 2.92
5 La 0.5000 0.5000 0.0000  6 P 2.92-2.93
6 Dy 0.5000 0.0000 0.5000  6 P 2.82
7 Dy 0.0000 0.5000 0.5000  6 P 2.89
8 Tm 0.0000 0.0000 0.0000  6 P 2.86

---

A plane-wave DFT calculation with PBE-GGA was carried out for crystalline Sr3Pm2NpN6 at its relaxed geometry.

Values from the calculation:
Theoretical density (g cm⁻³): 7.10
Formation energy without anion corrections (eV/atom): -1.136

Unit cell a=6.2554 b=6.2554 c=6.3805 alpha=99.44 beta=99.44 gamma=119.99
With the nearest neighbours (Å) after each atom.
Fractional positions:
1 N 0.9310 0.6324 0.7924  1 Np 2.25
2 N 0.7711 0.7711 0.2046  1 Np 2.23
3 N 0.6324 0.9310 0.7924  1 Np 2.25
4 N 0.0690 0.3676 0.2076  1 Np 2.25
5 N 0.3676 0.0690 0.2076  1 Np 2.25
6 N 0.2289 0.2289 0.7954  1 Np 2.23
7 Sr 0.8354 0.1646 0.5000  6 N 2.65-2.91
8 Sr 0.1646 0.8354 0.5000  6 N 2.65-2.91
9 Sr 0.5000 0.5000 0.5000  6 N 2.65-2.92
10 Pm 0.6669 0.3331 0.0000  6 N 2.53-2.54
11 Pm 0.3331 0.6669 0.0000  6 N 2.53-2.54
12 Np 0.0000 0.0000 0.0000  6 N 2.23-2.25

---

A plane-wave DFT calculation with PBE-GGA was carried out for crystalline TlPdBr2 at its relaxed geometry.

Values from the calculation:
Theoretical density (g cm⁻³): 7.48
Formation energy without anion corrections (eV/atom): -0.036

Unit cell a=5.2874 b=5.2874 c=5.2874 alpha=60.00 beta=60.00 gamma=60.00
With the nearest neighbours (Å) after each atom.
Fractional positions:
1 Br 0.2500 0.2500 0.2500  4 Tl 3.24, 4 Pd 3.24
2 Br 0.7500 0.7500 0.7500  4 Tl 3.24, 4 Pd 3.24
3 Pd 0.0000 0.0000 0.0000  8 Br 3.24
4 Tl 0.5000 0.5000 0.5000  8 Br 3.24

---

A plane-wave DFT calculation with PBE-GGA was carried out for crystalline SmGdRuPt at its relaxed geometry.

Values from the calculation:
Formation enthalpy at 0 K (eV/atom): -0.671
Theoretical density (g cm⁻³): 11.72

Unit cell a=4.9457 b=4.9457 c=4.9457 alpha=60.00 beta=60.00 gamma=60.00
With the nearest neighbours (Å) after each atom.
Fractional positions:
1 Ru 0.2500 0.2500 0.2500  4 Sm 3.03, 4 Gd 3.03
2 Sm 0.5000 0.5000 0.5000  4 Pt 3.03, 4 Ru 3.03
3 Gd 0.0000 0.0000 0.0000  4 Ru 3.03, 4 Pt 3.03
4 Pt 0.7500 0.7500 0.7500  4 Gd 3.03, 4 Sm 3.03

---

A plane-wave DFT calculation with PBE-GGA was carried out for crystalline Ni2HgIr at its relaxed geometry.

Values from the calculation:
Formation enthalpy at 0 K (eV/atom): 0.256
Theoretical density (g cm⁻³): 15.01

Unit cell a=6.2606 b=4.5786 c=2.7796 alpha=89.97 beta=63.69 gamma=123.31
With the nearest neighbours (Å) after each atom.
Fractional positions:
1 Ni 0.0000 0.0000 0.0000  4 Hg 2.68, 4 Ir 2.68, 4 Ni 2.78-2.81
2 Ni 0.5000 0.0000 0.5000  4 Ir 2.68, 4 Hg 2.68, 4 Ni 2.78-2.81
3 Hg 0.0000 0.5000 0.5000  8 Ni 2.68, 2 Hg 2.78, 2 Ir 2.81
4 Ir 0.5000 0.5000 0.0000  8 Ni 2.68, 2 Ir 2.78, 2 Hg 2.81

---

A plane-wave DFT calculation with PBE-GGA was carried out for crystalline Tm4SbPb2Se at its relaxed geometry.

Values from the calculation:
Theoretical density (g cm⁻³): 9.57
Formation energy without anion corrections (eV/atom): -0.860

Unit cell a=4.2739 b=7.8110 c=7.0902 alpha=71.07 beta=90.00 gamma=90.00
With the nearest neighbours (Å) after each atom.
Fractional positions:
1 Pb 0.0000 0.0000 0.0000  6 Tm 3.08
2 Pb 0.5000 0.0000 0.5000  6 Tm 3.11-3.14
3 Tm 0.0000 0.2629 0.2440  1 Sb 2.98, 2 Se 2.98, 3 Pb 3.08-3.11
4 Tm 0.0000 0.7371 0.7560  1 Sb 2.98, 2 Se 2.98, 3 Pb 3.08-3.11
5 Tm 0.5000 0.7368 0.2457  1 Se 2.92, 2 Sb 3.01, 3 Pb 3.08-3.14
6 Tm 0.5000 0.2632 0.7543  1 Se 2.92, 2 Sb 3.01, 3 Pb 3.08-3.14
7 Sb 0.0000 0.5000 0.5000  6 Tm 2.98-3.01
8 Se 0.5000 0.5000 0.0000  6 Tm 2.92-2.98

---

A plane-wave DFT calculation with PBE-GGA was carried out for crystalline Rb2ScPbI6 at its relaxed geometry.

Values from the calculation:
Theoretical density (g cm⁻³): 4.17
Formation energy without anion corrections (eV/atom): -1.045

Unit cell a=8.7338 b=8.7338 c=8.7382 alpha=60.02 beta=60.02 gamma=90.00
With the nearest neighbours (Å) after each atom.
Fractional positions:
1 Rb 0.2500 0.7500 0.5000  12 I 4.37
2 Rb 0.7500 0.2500 0.5000  12 I 4.37
3 I 0.2621 0.2621 0.0000  1 Sc 2.94, 1 Pb 3.24
4 I 0.2622 0.2622 0.4755  1 Sc 2.94, 1 Pb 3.24
5 I 0.7379 0.2621 0.0000  1 Sc 2.94, 1 Pb 3.24
6 I 0.7378 0.7378 0.5245  1 Sc 2.94, 1 Pb 3.24
7 I 0.7379 0.7379 0.0000  1 Sc 2.94, 1 Pb 3.24
8 I 0.2621 0.7379 0.0000  1 Sc 2.94, 1 Pb 3.24
9 Sc 0.5000 0.5000 0.0000  6 I 2.94
10 Pb 0.0000 0.0000 0.0000  6 I 3.24